Entry 1:
! HgRuPt2 PBE relaxed; values from VASP
&SYSTEM
  ibrav = 0, nat = 4, ntyp = 3
/
ATOMIC_SPECIES
Hg 200.59 Hg.upf
Pt 195.08 Pt.upf
Ru 101.07 Ru.upf
CELL_PARAMETERS angstrom
-2.036 5.091 1.468
-5.591 0.881 0.427
4.784 -2.571 1.650
ATOMIC_POSITIONS angstrom
Hg -2.343 0.674 1.520
Pt -7.534 5.899 1.872
Pt -0.474 2.707 2.018
Ru -3.932 3.079 0.977
! Symmetry   Imm2

=====

Entry 2:
! HgRuPt2 PBE relaxed; values from VASP
&SYSTEM
  ibrav = 0, nat = 4, ntyp = 3
/
ATOMIC_SPECIES
Hg 200.59 Hg.upf
Pt 195.08 Pt.upf
Ru 101.07 Ru.upf
CELL_PARAMETERS angstrom
-2.534 0.365 -1.214
-0.731 -2.638 0.731
-3.005 2.805 7.114
ATOMIC_POSITIONS angstrom
Hg -3.886 0.967 5.094
Pt -0.077 0.072 0.182
Pt -1.426 1.331 3.375
Ru -2.383 -0.435 1.537
! Symmetry   P4/mmm

=====

Entry 3:
! HgRu4Pt PBE relaxed; values from VASP
&SYSTEM
  ibrav = 0, nat = 6, ntyp = 3
/
ATOMIC_SPECIES
Ru 101.07 Ru.upf
Pt 195.08 Pt.upf
Hg 200.59 Hg.upf
CELL_PARAMETERS angstrom
-2.917 0.502 4.212
-4.540 -2.410 0.289
-0.600 -3.983 3.205
ATOMIC_POSITIONS angstrom
Ru -3.016 -2.205 2.885
Ru -3.317 -4.207 4.496
Ru -4.482 -1.953 5.002
Ru -5.297 -3.416 3.030
Pt 0.000 0.000 0.000
Hg -6.042 -4.418 5.780
! Symmetry   F-43m

=====

Entry 4:
! Hg2RuPt PBE relaxed; values from VASP
&SYSTEM
  ibrav = 0, nat = 4, ntyp = 3
/
ATOMIC_SPECIES
Hg 200.59 Hg.upf
Ru 101.07 Ru.upf
Pt 195.08 Pt.upf
CELL_PARAMETERS angstrom
-1.895 0.419 4.648
0.258 -4.530 2.188
3.517 2.711 -2.378
ATOMIC_POSITIONS angstrom
Hg 1.478 -1.937 1.614
Hg 0.000 0.000 0.000
Ru 0.402 0.538 2.844
Pt -0.818 -2.055 3.418
! Symmetry   I-4m2

=====

Entry 5:
! HgRuPt2 PBE relaxed; values from VASP
&SYSTEM
  ibrav = 0, nat = 4, ntyp = 3
/
ATOMIC_SPECIES
Ru 101.07 Ru.upf
Hg 200.59 Hg.upf
Pt 195.08 Pt.upf
CELL_PARAMETERS angstrom
9.541 0.013 0.007
9.114 2.824 0.007
9.114 1.386 2.460
ATOMIC_POSITIONS angstrom
Ru 6.942 1.056 0.619
Hg 20.827 3.167 1.856
Pt 27.598 4.196 2.460
Pt 14.056 2.137 1.253
! Symmetry   R-3m

=====

Entry 6:
! Hg2RuPt PBE relaxed; values from VASP
&SYSTEM
  ibrav = 0, nat = 4, ntyp = 3
/
ATOMIC_SPECIES
Hg 200.59 Hg.upf
Ru 101.07 Ru.upf
Pt 195.08 Pt.upf
CELL_PARAMETERS angstrom
-2.032 -4.407 -2.898
-2.336 -4.212 2.959
-0.006 5.408 -1.645
ATOMIC_POSITIONS angstrom
Hg -0.006 -0.011 0.000
Hg -2.178 -4.299 0.030
Ru -2.263 -1.557 0.672
Pt -2.111 -1.654 -2.256
! Symmetry   Immm

=====

Entry 7:
! Hg3RuPt PBE relaxed; values from VASP
&SYSTEM
  ibrav = 0, nat = 5, ntyp = 3
/
ATOMIC_SPECIES
Hg 200.59 Hg.upf
Ru 101.07 Ru.upf
Pt 195.08 Pt.upf
CELL_PARAMETERS angstrom
-0.025 -4.574 2.415
5.053 0.493 0.987
-1.103 2.364 4.466
ATOMIC_POSITIONS angstrom
Hg -0.013 -2.287 1.207
Hg -0.552 1.182 2.233
Hg 2.526 0.247 0.494
Ru 1.962 -0.858 3.934
Pt 0.000 0.000 0.000
! Symmetry   Pm-3m

=====

Entry 8:
! HgRuPt2 PBE relaxed; values from VASP
&SYSTEM
  ibrav = 0, nat = 8, ntyp = 3
/
ATOMIC_SPECIES
Hg 200.59 Hg.upf
Ru 101.07 Ru.upf
Pt 195.08 Pt.upf
CELL_PARAMETERS angstrom
5.908 0.000 0.000
0.000 5.908 0.000
2.954 2.954 5.869
ATOMIC_POSITIONS angstrom
Hg 5.908 2.954 2.934
Hg 0.000 0.000 0.000
Ru 2.954 5.908 2.934
Ru 2.954 2.954 0.000
Pt 4.145 1.477 1.467
Pt 7.385 7.099 4.402
Pt 1.763 4.431 1.467
Pt 4.431 4.717 4.402
! Symmetry   I-42d

=====

Number 1: ΔE_f 0.278 eV/atom, raw total energy -20.55 eV/f.u.. Number 2: ΔE_f 0.088 eV/atom, raw total energy -21.31 eV/f.u.. Number 3: ΔE_f 0.656 eV/atom, raw total energy -39.51 eV/f.u.. Number 4: ΔE_f 0.450 eV/atom, raw total energy -14.12 eV/f.u.. Number 5: ΔE_f 0.145 eV/atom, raw total energy -21.08 eV/f.u.. Number 6: ΔE_f 0.436 eV/atom, raw total energy -14.18 eV/f.u.. Number 7: ΔE_f 1.021 eV/atom, raw total energy -11.12 eV/f.u.. Number 8: ΔE_f 0.940 eV/atom, raw total energy -17.90 eV/f.u..